# 1
The following is a GGA-PBE calculation of a geometry-optimized Y4Ho7Pu structure, from the Alexandria database.

Geometry as POSCAR:
```
Y4Ho7Pu
1.0
0.235 -5.800 -0.179
5.441 -2.473 -6.951
8.014 -2.647 2.104
Y Ho Pu
4 7 1
Cartesian
5.307 -5.497 -3.344
8.383 -5.423 -1.681
10.464 -8.189 -3.555
3.226 -2.732 -1.471
10.024 -8.305 -0.384
3.667 -2.616 -4.642
6.352 -2.629 -0.681
7.338 -8.292 -4.344
9.132 -5.289 -5.062
0.118 -2.900 -0.089
4.559 -5.632 0.036
0.000 0.000 0.000
```

Calculated values
ΔH_f (0 K) in eV/atom: 0.252
Final energy in eV per atom: -5.77

# 2
The following is a GGA-PBE calculation of a geometry-optimized Y2HoPu structure, from the Alexandria database.

Geometry as POSCAR:
```
Y2HoPu
1.0
3.451 0.000 0.000
1.725 2.988 0.000
1.725 0.996 12.238
Y Ho Pu
2 1 1
Cartesian
1.725 0.996 8.976
5.176 2.988 3.263
3.451 1.992 6.119
0.000 0.000 0.000
```

Calculated values
ΔE to the lowest computed polymorph in meV/atom: 170.2
ΔH_f (0 K) in eV/atom: 0.268
Final energy in eV per atom: -7.69

Please write out number 1 again, unchanged.
The following is a GGA-PBE calculation of a geometry-optimized Y4Ho7Pu structure, from the Alexandria database.

Geometry as POSCAR:
```
Y4Ho7Pu
1.0
0.235 -5.800 -0.179
5.441 -2.473 -6.951
8.014 -2.647 2.104
Y Ho Pu
4 7 1
Cartesian
5.307 -5.497 -3.344
8.383 -5.423 -1.681
10.464 -8.189 -3.555
3.226 -2.732 -1.471
10.024 -8.305 -0.384
3.667 -2.616 -4.642
6.352 -2.629 -0.681
7.338 -8.292 -4.344
9.132 -5.289 -5.062
0.118 -2.900 -0.089
4.559 -5.632 0.036
0.000 0.000 0.000
```

Calculated values
ΔH_f (0 K) in eV/atom: 0.252
Final energy in eV per atom: -5.77